1.
Here is a geometry-optimized BaPaW structure from the Open Quantum Materials Database. Energies are from PBE.

Spin magnetization in μB/cell: 0.00
Polymorph energy (0 for the lowest one) in kcal/mol of atoms: 0.000

abc: 3.006 9.342 9.342
angles: 119.94 90.00 90.00
Positions (direct):
1 Ba 0.000 0.000 0.000
2 Ba 0.000 0.667 0.333
3 Ba 0.000 0.333 0.667
4 Pa 0.500 0.333 0.333
5 Pa 0.500 0.000 0.667
6 Pa 0.500 0.667 0.000
7 W 0.000 0.334 0.000
8 W 0.000 0.000 0.334
9 W 0.000 0.667 0.667

2.
Here is a geometry-optimized Y2Zn2O5 structure from the Open Quantum Materials Database. Energies are from PBE.

Spin magnetization in μB/cell: 0.00
Polymorph energy (0 for the lowest one) in kcal/mol of atoms: 0.000

abc: 7.057 3.902 3.902
angles: 90.00 90.00 90.00
Positions (direct):
1 O 0.203 0.500 0.000
2 O 0.797 0.500 0.000
3 O 0.203 0.000 0.500
4 O 0.797 0.000 0.500
5 O 0.500 0.500 0.500
6 Y 0.000 0.000 0.000
7 Y 0.500 0.000 0.000
8 Zn 0.226 0.500 0.500
9 Zn 0.774 0.500 0.500

3.
Here is a geometry-optimized PrNbN2O structure from the Open Quantum Materials Database. Energies are from PBE.

Spin magnetization in μB/cell: 0.00
Raw total energy in eV per atom: -9.022

abc: 8.049 5.710 5.772
angles: 90.00 90.00 90.00
Positions (direct):
1 N 0.500 0.316 0.008
2 N 0.210 0.454 0.294
3 N 0.790 0.454 0.294
4 N 0.000 0.834 0.470
5 N 0.500 0.684 0.508
6 N 0.210 0.546 0.794
7 N 0.790 0.546 0.794
8 N 0.000 0.166 0.970
9 Nb 0.245 0.265 0.020
10 Nb 0.755 0.265 0.020
11 Nb 0.245 0.735 0.520
12 Nb 0.755 0.735 0.520
13 O 0.287 0.949 0.184
14 O 0.713 0.949 0.184
15 O 0.287 0.051 0.684
16 O 0.713 0.051 0.684
17 Pr 0.000 0.754 0.051
18 Pr 0.500 0.253 0.475
19 Pr 0.000 0.246 0.551
20 Pr 0.500 0.747 0.975

4.
Here is a geometry-optimized Lu5Te3Os structure from the Open Quantum Materials Database. Energies are from PBE.

Spin magnetization in μB/cell: 0.06
Polymorph energy (0 for the lowest one) in kcal/mol of atoms: 4.498

abc: 8.043 8.043 4.132
angles: 90.00 90.00 120.00
Positions (direct):
1 Lu 0.660 0.000 0.000
2 Lu 0.340 0.340 0.000
3 Lu 0.000 0.660 0.000
4 Lu 0.667 0.333 0.500
5 Lu 0.333 0.667 0.500
6 Os 0.000 0.000 0.000
7 Te 0.257 0.000 0.500
8 Te 0.000 0.257 0.500
9 Te 0.743 0.743 0.500

5.
Here is a geometry-optimized Na3Zr2IrO6 structure from the Open Quantum Materials Database. Energies are from PBE.

Spin magnetization in μB/cell: 2.00
Raw total energy in eV per atom: -6.990

abc: 5.542 5.542 5.815
angles: 99.62 99.62 119.21
Positions (direct):
1 Ir 0.000 0.000 0.000
2 Na 0.848 0.152 0.500
3 Na 0.500 0.500 0.500
4 Na 0.152 0.848 0.500
5 O 0.451 0.078 0.224
6 O 0.078 0.451 0.224
7 O 0.698 0.698 0.226
8 O 0.302 0.302 0.774
9 O 0.922 0.549 0.776
10 O 0.549 0.922 0.776
11 Zr 0.668 0.332 0.000
12 Zr 0.332 0.668 0.000

6.
Here is a geometry-optimized Nd2Pd2I structure from the Open Quantum Materials Database. Energies are from PBE.

Spin magnetization in μB/cell: 0.02
Raw total energy in eV per atom: -5.111

abc: 4.425 4.425 8.432
angles: 90.00 90.00 120.00
Positions (direct):
1 I 0.333 0.667 0.000
2 Nd 0.667 0.333 0.286
3 Nd 0.667 0.333 0.714
4 Pd 0.000 0.000 0.500
5 Pd 0.333 0.667 0.500

7.
Here is a geometry-optimized Dy4SiPd3 structure from the Open Quantum Materials Database. Energies are from PBE.

Spin magnetization in μB/cell: 0.00
Raw total energy in eV per atom: -5.779

abc: 5.724 4.139 7.491
angles: 90.00 90.28 90.00
Positions (direct):
1 Dy 0.369 0.500 0.179
2 Dy 0.868 0.000 0.327
3 Dy 0.135 0.500 0.682
4 Dy 0.634 0.000 0.815
5 Pd 0.846 0.500 0.044
6 Pd 0.635 0.500 0.539
7 Pd 0.150 0.000 0.956
8 Si 0.362 0.000 0.458

8.
Here is a geometry-optimized NaTcAuSe2S structure from the Open Quantum Materials Database. Energies are from PBE.

Spin magnetization in μB/cell: 5.17
Raw total energy in eV per atom: -4.582

abc: 7.784 7.784 9.778
angles: 90.00 90.00 152.28
Positions (direct):
1 Au 0.133 0.867 0.250
2 Au 0.867 0.133 0.750
3 Na 0.788 0.212 0.250
4 Na 0.212 0.788 0.750
5 S 0.464 0.536 0.250
6 S 0.536 0.464 0.750
7 Se 0.119 0.881 0.004
8 Se 0.119 0.881 0.496
9 Se 0.881 0.119 0.504
10 Se 0.881 0.119 0.996
11 Tc 0.500 0.500 0.000
12 Tc 0.500 0.500 0.500

9.
Here is a geometry-optimized NdAgPbS3 structure from the Open Quantum Materials Database. Energies are from PBE.

Spin magnetization in μB/cell: 0.01
Polymorph energy (0 for the lowest one) in kcal/mol of atoms: 0.000

abc: 8.277 4.242 16.328
angles: 90.00 90.00 90.00
Positions (direct):
1 Ag 0.119 0.750 0.131
2 Ag 0.619 0.750 0.369
3 Ag 0.381 0.250 0.631
4 Ag 0.881 0.250 0.869
5 Nd 0.733 0.750 0.038
6 Nd 0.233 0.750 0.462
7 Nd 0.767 0.250 0.538
8 Nd 0.267 0.250 0.962
9 Pb 0.407 0.250 0.236
10 Pb 0.907 0.250 0.264
11 Pb 0.093 0.750 0.736
12 Pb 0.593 0.750 0.764
13 S 0.386 0.750 0.058
14 S 0.964 0.250 0.090
15 S 0.684 0.750 0.213
16 S 0.184 0.750 0.287
17 S 0.464 0.250 0.410
18 S 0.886 0.750 0.442
19 S 0.114 0.250 0.558
20 S 0.536 0.750 0.590
21 S 0.816 0.250 0.713
22 S 0.316 0.250 0.787
23 S 0.036 0.750 0.910
24 S 0.614 0.250 0.942

10.
Here is a geometry-optimized KBiIr structure from the Open Quantum Materials Database. Energies are from PBE.

Spin magnetization in μB/cell: 0.01
Polymorph energy (0 for the lowest one) in kcal/mol of atoms: 0.000

abc: 4.882 4.882 4.882
angles: 60.00 60.00 60.00
Positions (direct):
1 Bi 0.250 0.250 0.250
2 Ir 0.000 0.000 0.000
3 K 0.750 0.750 0.750

11.
Here is a geometry-optimized NdYS2F2 structure from the Open Quantum Materials Database. Energies are from PBE.

Spin magnetization in μB/cell: 0.00
Raw total energy in eV per atom: -6.852

abc: 3.820 3.820 6.857
angles: 90.00 90.00 90.00
Positions (direct):
1 F 0.500 0.000 0.995
2 F 0.000 0.500 0.995
3 Nd 0.000 0.000 0.228
4 S 0.500 0.500 0.363
5 S 0.000 0.000 0.649
6 Y 0.500 0.500 0.769

12.
Here is a geometry-optimized AgHgSeO structure from the Open Quantum Materials Database. Energies are from PBE.

Polymorph energy (0 for the lowest one) in kcal/mol of atoms: 0.000

abc: 6.776 3.563 13.003
angles: 90.00 90.00 90.00
Positions (direct):
1 Ag 0.260 0.750 0.037
2 Ag 0.760 0.750 0.463
3 Ag 0.240 0.250 0.537
4 Ag 0.740 0.250 0.963
5 Hg 0.529 0.250 0.249
6 Hg 0.029 0.250 0.251
7 Hg 0.971 0.750 0.749
8 Hg 0.471 0.750 0.751
9 O 0.278 0.250 0.147
10 O 0.778 0.250 0.353
11 O 0.222 0.750 0.647
12 O 0.722 0.750 0.853
13 Se 0.775 0.750 0.103
14 Se 0.275 0.750 0.397
15 Se 0.725 0.250 0.603
16 Se 0.225 0.250 0.897